(1)
Material: Tb2Al2ZnNi5
Method: DFT, PBE-GGA
State: relaxed

The calculation puts the raw total energy at -5.00 eV/atom. The calculation puts the formation energy at -0.31 eV per atom.

The space group is P4/mbm (No. 127) and the conventional cell measures 9.9931, 9.9931 and 3.0797 Å, with angles of 90.00, 90.00 and 90.00 degrees. The inequivalent atoms are Tb at (0.1739, 0.3261, 0.0000), Al at (0.1268, 0.6268, 0.0000), Zn at (0.0000, 0.0000, 0.0000), Ni at (0.0000, 0.5000, 0.5000) and Ni at (0.0503, 0.8032, 0.5000).


(2)
Material: NbIr2Rh6
Method: DFT, PBE-GGA
State: relaxed

The calculation puts the raw total energy at -8.00 eV/atom. The calculation puts the formation energy at -0.01 eV per atom.

The space group is R-3m (No. 166, hexagonal axes) and the conventional cell measures 7.5534, 7.5534 and 8.1348 Å, with angles of 90.00, 90.00 and 120.00 degrees. The inequivalent atoms are Nb at (0.0000, 0.0000, 0.0000), Ir at (0.0000, 0.0000, 0.3275) and Rh at (0.0000, 0.3320, 0.5000).


(3)
Material: Na2YScCu
Method: DFT, PBE-GGA
State: relaxed

The calculation puts the raw total energy at -2.67 eV/atom. The calculation puts the formation energy at 1.23 eV per atom.

The space group is P4/mmm (No. 123) and the conventional cell measures 5.6402, 5.6402 and 5.5130 Å, with angles of 90.00, 90.00 and 90.00 degrees. The inequivalent atoms are Na at (0.0000, 0.5000, 0.0000), Y at (0.0000, 0.0000, 0.5000), Sc at (0.0000, 0.0000, 0.0000) and Cu at (0.5000, 0.5000, 0.5000).